# SCAN ZnIO2, PBEsol geometry
# ΔE_f (raw) = 2.2 eV/f.u.
# crystal system = cubic
data_ZnIO2
_chemical_formula_sum 'Zn4 I4 O8'
_cell_length_a 5.911
_cell_length_b 5.911
_cell_length_c 5.911
_cell_angle_alpha 90.00
_cell_angle_beta 90.00
_cell_angle_gamma 90.00
_symmetry_space_group_name_H-M 'F m -3 m'
_symmetry_Int_Tables_number 225
_symmetry_space_group_name_Hall '-F 4 2 3'
loop_
_atom_site_label
_atom_site_type_symbol
_atom_site_fract_x
_atom_site_fract_y
_atom_site_fract_z
Zn1 Zn 0.000 0.000 0.000
I1 I 0.000 0.000 0.500
O1 O 0.250 0.250 0.250